Computed, not measured: SbIrRu2Rh at its PBEsol-relaxed geometry at the SCAN level of DFT.

The structure belongs to space group P4/mmm (No. 123); the cell edges are 4.7066, 4.7066 and 4.7201 Å and the angles 90.00°, 90.00° and 90.00°. The distinct sites, in fractional coordinates, are Sb at (0.0000, 0.0000, 0.0000), Ir at (0.0000, 0.0000, 0.5000), Ru at (0.0000, 0.5000, 0.0000) and Rh at (0.5000, 0.5000, 0.5000).

The density of states at the Fermi level is 0.7122 states/eV per atom. The uncorrected formation energy is 2.02 eV/atom.


Computed, not measured: IrRh3S at its PBEsol-relaxed geometry at the SCAN level of DFT.

The structure belongs to space group Pm-3m (No. 221); the cell edges are 4.2491, 4.2491 and 4.2491 Å and the angles 90.00°, 90.00° and 90.00°. The distinct sites, in fractional coordinates, are Ir at (0.0000, 0.0000, 0.0000), Rh at (0.0000, 0.5000, 0.5000) and S at (0.5000, 0.5000, 0.5000).

The density of states at the Fermi level is 1.0185 states/eV per atom. The uncorrected formation energy is 0.66 eV/atom.


Computed, not measured: SbIr2Rh at its PBEsol-relaxed geometry at the SCAN level of DFT.

The structure belongs to space group C2/m (No. 12); the cell edges are 5.3761, 9.6561 and 2.8409 Å and the angles 90.00°, 121.80° and 90.00°. The distinct sites, in fractional coordinates, are Sb at (0.0000, 0.0000, 0.0000), Ir at (0.2500, 0.2500, 0.5000) and Rh at (0.0000, 0.5000, 0.0000).

The density of states at the Fermi level is 0.7704 states/eV per atom. The uncorrected formation energy is 0.20 eV/atom.


Computed, not measured: SbIr2Rh at its PBEsol-relaxed geometry at the SCAN level of DFT.

The structure belongs to space group Pmm2 (No. 25); the cell edges are 2.8669, 3.8265 and 5.6579 Å and the angles 90.00°, 90.00° and 90.00°. The distinct sites, in fractional coordinates, are Sb at (0.0000, 0.0000, 0.0000), Ir at (0.0000, 0.0000, 0.5027), Ir at (0.5000, 0.5000, 0.2842) and Rh at (0.5000, 0.5000, 0.7501).

The density of states at the Fermi level is 0.7383 states/eV per atom. The uncorrected formation energy is 0.20 eV/atom.


What is the formula in the first record? SbIrRu2Rh